No. 1
VASP calculation (PBE) on a relaxed CsLaCdTe3 crystal.

abc: 8.9589 8.9589 12.2925
angles: 90.00 90.00 149.58
Last column: nearest neighbours and their distance in Å.
Fractional coordinates of all 12 atoms:
Cs 0.2504 0.7496 0.7500  8 Te 3.95-4.35, 2 Cd 4.40
Cs 0.7496 0.2504 0.2500  8 Te 3.95-4.35, 2 Cd 4.40
La 0.0000 0.0000 0.0000  6 Te 3.25-3.28
La 0.0000 0.0000 0.5000  6 Te 3.25-3.28
Cd 0.4649 0.5351 0.2500  4 Te 2.83-2.93
Cd 0.5351 0.4649 0.7500  4 Te 2.83-2.93
Te 0.0663 0.9337 0.2500  2 Cd 2.93, 2 La 3.28
Te 0.3765 0.6235 0.0560  1 Cd 2.83
Te 0.3765 0.6235 0.4440  1 Cd 2.83
Te 0.6235 0.3765 0.5560  1 Cd 2.83
Te 0.6235 0.3765 0.9440  1 Cd 2.83
Te 0.9337 0.0663 0.7500  2 Cd 2.93, 2 La 3.28

Size of the total moment in μB per formula unit: 0.00
Energy relative to the elements, uncorrected in meV per atom: -1173.4
SG: Cmcm

***

No. 2
VASP calculation (PBE) on a relaxed CsLaTl2Cd crystal.

abc: 6.2713 6.2713 6.3738
angles: 90.00 90.00 90.00
Last column: nearest neighbours and their distance in Å.
Fractional coordinates of all 5 atoms:
Cs 0.0000 0.0000 0.0000  4 Cd 4.43, 8 Tl 4.47
La 0.5000 0.5000 0.5000  4 Tl 3.14, 2 Cd 3.19
Tl 0.0000 0.5000 0.5000  2 La 3.14
Tl 0.5000 0.0000 0.5000  2 La 3.14
Cd 0.5000 0.5000 0.0000  2 La 3.19

Size of the total moment in μB per formula unit: 0.00
SG: P4/mmm
Electronic total energy in eV per atom: -2.072

***

No. 3
VASP calculation (PBE) on a relaxed CsLiCd3 crystal.

abc: 6.8803 6.8803 6.8803
angles: 90.00 90.00 90.00
Last column: nearest neighbours and their distance in Å.
Fractional coordinates of all 5 atoms:
Cs 0.0000 0.0000 0.0000  6 Cd 3.44
Li 0.5000 0.5000 0.5000  12 Cd 4.87
Cd 0.0000 0.0000 0.5000  2 Cs 3.44
Cd 0.0000 0.5000 0.0000  2 Cs 3.44
Cd 0.5000 0.0000 0.0000  2 Cs 3.44

Size of the total moment in μB per formula unit: 0.00
SG: Pm-3m
Electronic total energy in eV per atom: -0.490

***

No. 4
VASP calculation (PBE) on a relaxed CsLiCd3 crystal.

abc: 5.5184 5.5184 5.5184
angles: 90.00 90.00 90.00
Last column: nearest neighbours and their distance in Å.
Fractional coordinates of all 5 atoms:
Cs 0.0000 0.0000 0.0000  12 Cd 3.90
Li 0.5000 0.5000 0.5000  6 Cd 2.76
Cd 0.0000 0.5000 0.5000  2 Li 2.76
Cd 0.5000 0.0000 0.5000  2 Li 2.76
Cd 0.5000 0.5000 0.0000  2 Li 2.76

Size of the total moment in μB per formula unit: 0.00
SG: Pm-3m
Electronic total energy in eV per atom: -1.086

***

No. 5
VASP calculation (PBE) on a relaxed Cs2LiCd crystal.

abc: 6.8714 6.8714 6.8714
angles: 60.00 60.00 60.00
Last column: nearest neighbours and their distance in Å.
Fractional coordinates of all 4 atoms:
Cs 0.2500 0.2500 0.2500  4 Cd 4.21, 4 Li 4.21
Cs 0.7500 0.7500 0.7500  4 Cd 4.21, 4 Li 4.21
Li 0.0000 0.0000 0.0000  8 Cs 4.21
Cd 0.5000 0.5000 0.5000  8 Cs 4.21

Size of the total moment in μB per formula unit: 0.00
SG: Fm-3m
Electronic total energy in eV per atom: -1.011

***

No. 6
VASP calculation (PBE) on a relaxed Cs2LiCd crystal.

abc: 13.7961 13.7961 13.7961
angles: 19.07 19.07 19.07
Last column: nearest neighbours and their distance in Å.
Fractional coordinates of all 4 atoms:
Cs 0.0962 0.0962 0.0962  3 Cd 3.89, 1 Li 3.91
Cs 0.9038 0.9038 0.9038  3 Cd 3.89, 1 Li 3.91
Li 0.0000 0.0000 0.0000  2 Cs 3.91
Cd 0.5000 0.5000 0.5000  6 Cs 3.89

Size of the total moment in μB per formula unit: 0.00
SG: R-3m
Electronic total energy in eV per atom: -0.863

***

No. 7
VASP calculation (PBE) on a relaxed CsLi3Cd crystal.

abc: 5.5426 5.5426 5.5426
angles: 90.00 90.00 90.00
Last column: nearest neighbours and their distance in Å.
Fractional coordinates of all 5 atoms:
Cs 0.0000 0.0000 0.0000  6 Li 2.77
Li 0.0000 0.0000 0.5000  2 Cs 2.77
Li 0.0000 0.5000 0.0000  2 Cs 2.77
Li 0.5000 0.0000 0.0000  2 Cs 2.77
Cd 0.5000 0.5000 0.5000  12 Li 3.92

Size of the total moment in μB per formula unit: 0.00
SG: Pm-3m
Electronic total energy in eV per atom: -0.664

***

No. 8
VASP calculation (PBE) on a relaxed CsLi2Cd crystal.

abc: 7.5417 7.5417 7.5417
angles: 38.91 38.91 38.91
Last column: nearest neighbours and their distance in Å.
Fractional coordinates of all 4 atoms:
Cs 0.0000 0.0000 0.0000  2 Li 3.81
Li 0.1826 0.1826 0.1826  3 Cd 2.92, 3 Li 2.98
Li 0.8174 0.8174 0.8174  3 Cd 2.92, 3 Li 2.98
Cd 0.5000 0.5000 0.5000  6 Li 2.92

Size of the total moment in μB per formula unit: 0.00
SG: R-3m
Electronic total energy in eV per atom: -1.405